A plane-wave DFT calculation with PBE-GGA was carried out for crystalline NaAc2Pd2 at its relaxed geometry.

a b c (Å): 4.1171 8.3644 8.3644
angles (deg): 90.00 90.00 90.00
Element x y z (fractional)
Na (0.0000, 0.0000, 0.0000)
Na (0.0000, 0.5000, 0.5000)
Ac (0.5000, 0.1652, 0.6652)
Ac (0.5000, 0.6652, 0.8348)
Ac (0.5000, 0.8348, 0.3348)
Ac (0.5000, 0.3348, 0.1652)
Pd (0.0000, 0.3710, 0.8710)
Pd (0.0000, 0.8710, 0.6290)
Pd (0.0000, 0.6290, 0.1290)
Pd (0.0000, 0.1290, 0.3710)

Results
ΔH_f (0 K)	-0.60	eV per atom
Fermi-level density of states	2.76	states/eV/f.u.
V	288	Å³ per cell



A plane-wave DFT calculation with PBE-GGA was carried out for crystalline Na3AcPd8 at its relaxed geometry.

a b c (Å): 5.4716 5.4716 9.4804
angles (deg): 73.23 73.23 60.00
Element x y z (fractional)
Na (0.3734, 0.3734, 0.8799)
Na (0.0070, 0.0070, 0.9791)
Na (0.4898, 0.4898, 0.5305)
Ac (0.8762, 0.8762, 0.3713)
Pd (0.9373, 0.4387, 0.1852)
Pd (0.4386, 0.9374, 0.6867)
Pd (0.4387, 0.4387, 0.1852)
Pd (0.9374, 0.9374, 0.6867)
Pd (0.1874, 0.1874, 0.4377)
Pd (0.6880, 0.6880, 0.9359)
Pd (0.4387, 0.9373, 0.1852)
Pd (0.9374, 0.4386, 0.6867)

Results
ΔH_f (0 K)	-0.40	eV per atom
Fermi-level density of states	7.81	states/eV/f.u.
V	232	Å³ per cell



A plane-wave DFT calculation with PBE-GGA was carried out for crystalline NaAc2Pd at its relaxed geometry.

a b c (Å): 4.4410 4.4410 9.9768
angles (deg): 77.14 77.14 60.00
Element x y z (fractional)
Na (0.5003, 0.5003, 0.4992)
Ac (0.0565, 0.0565, 0.8306)
Ac (0.2768, 0.2768, 0.1696)
Pd (0.6665, 0.6665, 0.0006)

Results
ΔH_f (0 K)	-0.32	eV per atom
Fermi-level density of states	3.06	states/eV/f.u.
V	165	Å³ per cell
excess energy over the best structure of this formula in the dataset	0	meV/atom



A plane-wave DFT calculation with PBE-GGA was carried out for crystalline NaAcPd10 at its relaxed geometry.

a b c (Å): 4.4884 5.4077 9.3144
angles (deg): 90.00 90.00 90.00
Element x y z (fractional)
Na (0.0000, 0.5000, 0.5000)
Ac (0.0000, 0.0000, 0.0000)
Pd (0.0000, 0.0000, 0.3380)
Pd (0.0000, 0.5000, 0.8267)
Pd (0.0000, 0.5000, 0.1733)
Pd (0.0000, 0.0000, 0.6620)
Pd (0.5000, 0.0000, 0.5000)
Pd (0.5000, 0.5000, 0.0000)
Pd (0.5000, 0.2492, 0.2508)
Pd (0.5000, 0.7508, 0.7492)
Pd (0.5000, 0.7508, 0.2508)
Pd (0.5000, 0.2492, 0.7492)

Results
ΔH_f (0 K)	-0.29	eV per atom
Fermi-level density of states	13.75	states/eV/f.u.
V	226	Å³ per cell



A plane-wave DFT calculation with PBE-GGA was carried out for crystalline NaAcSbPd at its relaxed geometry.

a b c (Å): 5.3928 5.3928 5.3928
angles (deg): 60.00 60.00 60.00
Element x y z (fractional)
Sb (0.2500, 0.2500, 0.2500)
Ac (0.5000, 0.5000, 0.5000)
Pd (0.7500, 0.7500, 0.7500)
Na (0.0000, 0.0000, 0.0000)

Results
Fermi-level density of states	1.64	states/eV/f.u.
formation energy from raw total energies	-216	kJ/mol of formula units
V	111	Å³ per cell



A plane-wave DFT calculation with PBE-GGA was carried out for crystalline NaAc2Sb3Pd4 at its relaxed geometry.

a b c (Å): 4.6862 4.6862 10.8702
angles (deg): 90.00 90.00 90.00
Element x y z (fractional)
Na (0.5000, 0.5000, 0.5000)
Ac (0.5000, 0.0000, 0.2348)
Ac (0.0000, 0.5000, 0.7652)
Sb (0.0000, 0.0000, 0.5000)
Sb (0.5000, 0.0000, 0.8714)
Sb (0.0000, 0.5000, 0.1286)
Pd (0.5000, 0.5000, 0.0000)
Pd (0.0000, 0.0000, 0.0000)
Pd (0.5000, 0.0000, 0.6310)
Pd (0.0000, 0.5000, 0.3690)

Results
Fermi-level density of states	6.25	states/eV/f.u.
formation energy from raw total energies	-802	kJ/mol of formula units
V	239	Å³ per cell



A plane-wave DFT calculation with PBE-GGA was carried out for crystalline NaAcSiPd at its relaxed geometry.

a b c (Å): 5.1902 5.1902 5.1902
angles (deg): 60.00 60.00 60.00
Element x y z (fractional)
Na (0.0000, 0.0000, 0.0000)
Ac (0.5000, 0.5000, 0.5000)
Si (0.7500, 0.7500, 0.7500)
Pd (0.2500, 0.2500, 0.2500)

Results
Fermi-level density of states	3.11	states/eV/f.u.
formation energy from raw total energies	-82	kJ/mol of formula units
V	99	Å³ per cell



A plane-wave DFT calculation with PBE-GGA was carried out for crystalline NaAc2Sn3Pd4 at its relaxed geometry.

a b c (Å): 4.6444 4.6444 11.1640
angles (deg): 90.00 90.00 90.00
Element x y z (fractional)
Na (0.5000, 0.5000, 0.5000)
Ac (0.5000, 0.0000, 0.2397)
Ac (0.0000, 0.5000, 0.7603)
Sn (0.0000, 0.0000, 0.5000)
Sn (0.5000, 0.0000, 0.8768)
Sn (0.0000, 0.5000, 0.1232)
Pd (0.5000, 0.5000, 0.0000)
Pd (0.0000, 0.0000, 0.0000)
Pd (0.5000, 0.0000, 0.6389)
Pd (0.0000, 0.5000, 0.3611)

Results
ΔH_f (0 K)	-0.72	eV per atom
Fermi-level density of states	5.33	states/eV/f.u.
V	241	Å³ per cell



A plane-wave DFT calculation with PBE-GGA was carried out for crystalline NaAcSn2Pd4 at its relaxed geometry.

a b c (Å): 4.6146 4.6146 9.4673
angles (deg): 75.89 75.89 60.00
Element x y z (fractional)
Na (0.5000, 0.5000, 0.5000)
Ac (0.0000, 0.0000, 0.0000)
Sn (0.7646, 0.7646, 0.7061)
Sn (0.2354, 0.2354, 0.2939)
Pd (0.4000, 0.4000, 0.8000)
Pd (0.8725, 0.8725, 0.3824)
Pd (0.1275, 0.1275, 0.6176)
Pd (0.6000, 0.6000, 0.2000)

Results
ΔH_f (0 K)	-0.59	eV per atom
Fermi-level density of states	5.20	states/eV/f.u.
V	168	Å³ per cell



A plane-wave DFT calculation with PBE-GGA was carried out for crystalline NaAcSnPd at its relaxed geometry.

a b c (Å): 5.1792 5.1792 5.1792
angles (deg): 60.00 60.00 60.00
Element x y z (fractional)
Na (0.5000, 0.5000, 0.5000)
Ac (0.7500, 0.7500, 0.7500)
Sn (0.2500, 0.2500, 0.2500)
Pd (0.0000, 0.0000, 0.0000)

Results
ΔH_f (0 K)	-0.51	eV per atom
Fermi-level density of states	0.52	states/eV/f.u.
V	98	Å³ per cell



A plane-wave DFT calculation with PBE-GGA was carried out for crystalline NaAc2Sn4Pd3 at its relaxed geometry.

a b c (Å): 4.7138 4.7138 11.3068
angles (deg): 90.00 90.00 90.00
Element x y z (fractional)
Na (0.5000, 0.5000, 0.5000)
Ac (0.5000, 0.0000, 0.2478)
Ac (0.0000, 0.5000, 0.7522)
Sn (0.5000, 0.5000, 0.0000)
Sn (0.0000, 0.0000, 0.0000)
Sn (0.5000, 0.0000, 0.6422)
Sn (0.0000, 0.5000, 0.3578)
Pd (0.0000, 0.0000, 0.5000)
Pd (0.5000, 0.0000, 0.8775)
Pd (0.0000, 0.5000, 0.1225)

Results
ΔH_f (0 K)	-0.65	eV per atom
Fermi-level density of states	6.29	states/eV/f.u.
V	251	Å³ per cell



A plane-wave DFT calculation with PBE-GGA was carried out for crystalline NaAcTePd at its relaxed geometry.

a b c (Å): 5.4271 5.4271 5.4271
angles (deg): 60.00 60.00 60.00
Element x y z (fractional)
Na (0.2500, 0.2500, 0.2500)
Ac (0.7500, 0.7500, 0.7500)
Te (0.0000, 0.0000, 0.0000)
Pd (0.5000, 0.5000, 0.5000)

Results
Fermi-level density of states	0.08	states/eV/f.u.
formation energy from raw total energies	-292	kJ/mol of formula units
V	113	Å³ per cell



| no. | magnetic moment (μB per formula unit) |
| --- | --- |
| 1 | 0.000 |
| 2 | 0.000 |
| 3 | 0.000 |
| 4 | 0.000 |
| 5 | 0.000 |
| 6 | 0.000 |
| 7 | 0.000 |
| 8 | 0.000 |
| 9 | 0.000 |
| 10 | 0.000 |
| 11 | 0.000 |
| 12 | 0.000 |